# Na3Pm3FeO8

An optimized crystal structure of Na3Pm3FeO8 (PBE with a Hubbard U, the Alexandria database).

Space group: No. 166
E: -6.536 eV/atom

```
15
Lattice="6.905 0.000 0.000 -3.453 5.977 -0.024 0.000 -3.970 5.557" Properties=species:S:1:pos:R:3 pbc="T T T"
O -1.933 3.120 3.859
O 1.933 3.120 3.859
O 0.000 1.995 1.561
O 3.452 0.013 3.973
O 0.000 -0.230 3.870
O 5.385 -1.112 1.675
O 3.452 2.238 1.663
O 1.520 -1.112 1.675
Na 0.000 0.000 0.000
Na 1.726 2.989 -0.012
Na -1.726 2.989 -0.012
Fe 0.000 -1.985 2.779
Pm -1.726 1.004 2.767
Pm 3.452 -1.985 2.779
Pm 1.726 1.004 2.767
```